LiFeAgB: relaxed, PBE.

a b c (Å): 3.960 3.960 3.960
angles (deg): 60.00 60.00 60.00
Element x y z (fractional)
Ag 0.250 0.250 0.250
B 0.000 0.000 0.000
Li 0.500 0.500 0.500
Fe 0.750 0.750 0.750

Summary:
Energy above the lowest structure with this stoichiometry   0.000 eV per atom
Uncorrected energy   -17.9 eV per cell
Space-group type   F-43m, No. 216

LuFeAgB: relaxed, PBE.

a b c (Å): 4.382 4.382 4.382
angles (deg): 60.00 60.00 60.00
Element x y z (fractional)
Fe 0.750 0.750 0.750
Ag 0.250 0.250 0.250
B 0.000 0.000 0.000
Lu 0.500 0.500 0.500

Summary:
Energy above the lowest structure with this stoichiometry   0.237 eV per atom
Uncorrected energy   -19.6 eV per cell
Space-group type   F-43m, No. 216